Record 1
Compound: LaRhCl
Source: Alexandria
Functional: GGA-PBEsol
Structure: relaxed

Unit cell a=6.6162 b=6.6162 c=6.6162 alpha=90.00 beta=90.00 gamma=90.00
With the nearest neighbours (Å) after each atom.
Space group F-43m (No. 216)
Inequivalent atoms, fractional coordinates:
La: 0.0000 0.0000 0.0000 x4  4 Rh 2.86, 4 Cl 2.86
Rh: 0.2500 0.2500 0.7500 x4  4 La 2.86
Cl: 0.2500 0.2500 0.2500 x4  4 La 2.86

The density of states at the Fermi level is 1.5041 states/eV/atom. For the magnetization, the calculation gives 0.0008 μB per atom. The calculation puts the energy at -5.663 eV per atom. The calculation puts the formation energy from raw total energies at -0.4986 eV/atom.

=====

Record 2
Compound: LaRh2Cl
Source: Alexandria
Functional: GGA-PBEsol
Structure: relaxed

Unit cell a=5.6530 b=9.2450 c=4.0018 alpha=90.00 beta=134.77 gamma=90.00
With the nearest neighbours (Å) after each atom.
Space group C2/m (No. 12)
Inequivalent atoms, fractional coordinates:
La: 0.0000 0.0000 0.0000 x2  4 Rh 2.71, 4 Cl 2.83-2.84
Rh: 0.2500 0.2500 0.5000 x4  2 Cl 2.71, 2 La 2.71, 4 Rh 2.83-2.84
Cl: 0.0000 0.5000 0.0000 x2  4 Rh 2.71, 4 La 2.83-2.84

The density of states at the Fermi level is 0.6332 states/eV/atom. For the magnetization, the calculation gives 0.0000 μB per atom. The calculation puts the energy at -6.259 eV per atom. The calculation puts the formation energy from raw total energies at -0.3512 eV/atom.

=====

Record 3
Compound: LaRu2Cl
Source: Alexandria
Functional: GGA-PBEsol
Structure: relaxed

Unit cell a=3.3057 b=3.3057 c=22.8424 alpha=90.00 beta=90.00 gamma=120.00
With the nearest neighbours (Å) after each atom.
Space group R-3m (No. 166, hexagonal axes)
Inequivalent atoms, fractional coordinates:
La: 0.0000 0.0000 0.0000 x3  6 Ru 2.67
Ru: 0.0000 0.0000 0.2515 x6  3 La 2.67, 3 Cl 2.72
Cl: 0.0000 0.0000 0.5000 x3  6 Ru 2.72

The density of states at the Fermi level is 1.4573 states/eV/atom. For the magnetization, the calculation gives 0.2338 μB per atom. The calculation puts the energy at -6.261 eV per atom. The calculation puts the formation energy from raw total energies at 0.6635 eV/atom.

=====

Record 4
Compound: LaRuCl2
Source: Alexandria
Functional: GGA-PBEsol
Structure: relaxed

Unit cell a=4.0578 b=4.0578 c=19.4736 alpha=90.00 beta=90.00 gamma=120.00
With the nearest neighbours (Å) after each atom.
Space group R3m (No. 160, hexagonal axes)
Inequivalent atoms, fractional coordinates:
La: 0.0000 0.0000 0.0000 x3  3 Ru 2.87, 6 Cl 2.93-3.07
Ru: 0.0000 0.0000 0.7515 x3  3 Cl 2.37
Cl: 0.0000 0.0000 0.2428 x3  3 La 2.93
Cl: 0.0000 0.0000 0.4355 x3  3 Ru 2.37

The density of states at the Fermi level is 0.8080 states/eV/atom. For the magnetization, the calculation gives 0.0003 μB per atom. The calculation puts the energy at -5.717 eV per atom. The calculation puts the formation energy from raw total energies at -0.8336 eV/atom.

=====

Record 5
Compound: LaRuCl2
Source: Alexandria
Functional: GGA-PBEsol
Structure: relaxed

Unit cell a=5.8351 b=6.8054 c=4.1143 alpha=90.00 beta=90.00 gamma=90.00
With the nearest neighbours (Å) after each atom.
Space group Cmmm (No. 65)
Inequivalent atoms, fractional coordinates:
La: 0.0000 0.0000 0.0000 x2  4 Cl 2.84, 2 Ru 2.92
Ru: 0.0000 0.5000 0.0000 x2  4 Cl 2.51
Cl: 0.0000 0.2881 0.5000 x4  2 Ru 2.51

The density of states at the Fermi level is 0.1095 states/eV/atom. For the magnetization, the calculation gives 0.2435 μB per atom. The calculation puts the energy at -5.635 eV per atom. The calculation puts the formation energy from raw total energies at -0.7517 eV/atom.

=====

Record 6
Compound: LaRu2Cl
Source: Alexandria
Functional: GGA-PBEsol
Structure: relaxed

Unit cell a=3.2452 b=5.2843 c=4.3993 alpha=90.00 beta=90.43 gamma=90.00
With the nearest neighbours (Å) after each atom.
Space group P2/m (No. 10)
Inequivalent atoms, fractional coordinates:
La: 0.0000 0.0000 0.0000 x1  4 Cl 2.72-2.74
Ru: 0.3449 0.5000 0.2501 x2  2 Ru 2.41-2.43
Cl: 0.5000 0.0000 0.5000 x1  4 La 2.72-2.74, 4 Ru 2.90

The density of states at the Fermi level is 1.0969 states/eV/atom. For the magnetization, the calculation gives 0.0000 μB per atom. The calculation puts the energy at -6.841 eV per atom. The calculation puts the formation energy from raw total energies at 0.0834 eV/atom.

=====

Record 7
Compound: La2TcRuCl
Source: Alexandria
Functional: GGA-PBEsol
Structure: relaxed

Unit cell a=5.3105 b=5.3105 c=4.2538 alpha=90.00 beta=90.00 gamma=90.00
With the nearest neighbours (Å) after each atom.
Space group P4/mmm (No. 123)
Inequivalent atoms, fractional coordinates:
La: 0.0000 0.5000 0.0000 x2  2 Cl 2.66
Tc: 0.0000 0.0000 0.5000 x1  8 La 3.40, 4 Ru 3.76
Ru: 0.5000 0.5000 0.5000 x1  2 Cl 2.13
Cl: 0.5000 0.5000 0.0000 x1  2 Ru 2.13

The density of states at the Fermi level is 1.5807 states/eV/atom. For the magnetization, the calculation gives 0.3718 μB per atom. The calculation puts the energy at -6.432 eV per atom. The calculation puts the formation energy from raw total energies at 0.3954 eV/atom.

=====

Record 8
Compound: La2S2Cl
Source: Alexandria
Functional: GGA-PBEsol
Structure: relaxed

Unit cell a=7.8336 b=7.8336 c=3.7734 alpha=90.00 beta=90.00 gamma=90.00
With the nearest neighbours (Å) after each atom.
Space group P4/mbm (No. 127)
Inequivalent atoms, fractional coordinates:
La: 0.1588 0.3412 0.0000 x4  6 S 2.91-3.02, 2 Cl 2.95
S: 0.1412 0.6412 0.5000 x4  6 La 2.91-3.02, 1 S 3.13
Cl: 0.0000 0.0000 0.0000 x2  4 La 2.95

The density of states at the Fermi level is 0.2488 states/eV/atom. For the magnetization, the calculation gives 0.0000 μB per atom. The calculation puts the energy at -6.524 eV per atom. The calculation puts the formation energy from raw total energies at -2.2299 eV/atom.

=====

Among the records above, which one has the highest energy? number 5

=====

Look up the magnetization of the fourth one. 0.0003 μB per atom

=====

Which of these has the lowest energy? number 6

=====

Look up the energy of the third one. -6.261 eV per atom